Record 1
Density functional theory data (GGA-PBE) for crystalline ThZnBi at its relaxed geometry.

DOS at the Fermi energy, states/eV per atom: 0.926
Mass density, g/cm3: 10.04
Space group: No. 63
Calculated total energy, eV/atom: -4.403

Cell lengths 4.4306, 4.6665, 8.4300 Å; angles 73.93, 90.00, 90.00 degrees
Closest atoms and distances in Å follow each position.
Positions (direct):
Th1 0.2500 0.9094 0.1811  6 Zn 3.18-3.31, 4 Bi 3.42-3.47
Th2 0.7500 0.0906 0.8189  6 Zn 3.18-3.31, 4 Bi 3.42-3.47
Bi1 0.2500 0.2510 0.4980  4 Bi 3.22, 4 Th 3.42-3.47
Bi2 0.7500 0.7490 0.5020  4 Bi 3.22, 4 Th 3.42-3.47
Zn1 0.2500 0.5427 0.9146  2 Zn 2.61
Zn2 0.7500 0.4573 0.0854  2 Zn 2.61



Record 2
Density functional theory data (GGA-PBE) for crystalline Ac2PrScTe4 at its relaxed geometry.

DOS at the Fermi energy, states/eV per atom: 0.662
Mass density, g/cm3: 7.17
Space group: No. 10
Energy relative to the elements, uncorrected, eV per formula unit: -10.8
Calculated total energy, eV/atom: -5.336

Cell lengths 4.4687, 7.8598, 8.0005 Å; angles 108.56, 90.00, 90.00 degrees
Closest atoms and distances in Å follow each position.
Positions (direct):
Ac1 0.5000 0.0000 0.5000  6 Te 3.28
Ac2 0.0000 0.5000 0.5000  6 Te 3.40-3.41
Pr1 0.5000 0.5000 0.0000  6 Te 3.17-3.18
Sc1 0.0000 0.0000 0.0000  6 Te 3.04
Te1 0.5000 0.2263 0.2186  2 Sc 3.04, 1 Pr 3.18, 1 Ac 3.28
Te2 0.5000 0.7737 0.7814  2 Sc 3.04, 1 Pr 3.18, 1 Ac 3.28
Te3 0.0000 0.2439 0.7722  1 Sc 3.04, 2 Pr 3.17, 2 Ac 3.28
Te4 0.0000 0.7561 0.2278  1 Sc 3.04, 2 Pr 3.17, 2 Ac 3.28



Record 3
Density functional theory data (GGA-PBE) for crystalline Ba2Ag2Br at its relaxed geometry.

Energy above the lowest structure with this stoichiometry, eV per atom: 0.380
DOS at the Fermi energy, states/eV per atom: 0.749
Mass density, g/cm3: 4.72
Space group: No. 139
Energy relative to the elements, uncorrected, eV per formula unit: -2.3
Calculated total energy, eV/atom: -2.703

Cell lengths 6.1553, 6.1553, 6.8517 Å; angles 63.31, 63.31, 90.00 degrees
Closest atoms and distances in Å follow each position.
Positions (direct):
Br1 0.0000 0.0000 0.0000  2 Ag 3.95, 8 Ba 4.06
Ba1 0.7500 0.2500 0.5000  4 Ag 3.34
Ba2 0.2500 0.7500 0.5000  4 Ag 3.34
Ag1 0.3728 0.3728 0.2545  1 Ag 2.69
Ag2 0.6272 0.6272 0.7455  1 Ag 2.69